# Rb2CaAu | Alexandria via LeMat-Bulk | PBE | optimized geometry
data_Rb2CaAu
_cell_length_a 9.043
_cell_length_b 9.043
_cell_length_c 9.043
_cell_angle_alpha 90.00
_cell_angle_beta 90.00
_cell_angle_gamma 90.00
_symmetry_space_group_name_H-M 'P 1'
_symmetry_Int_Tables_number 1
_symmetry_space_group_name_Hall 'P 1'
loop_
_atom_site_label
_atom_site_type_symbol
_atom_site_fract_x
_atom_site_fract_y
_atom_site_fract_z
_atom_site_occupancy
Rb1 Rb 0.250 0.250 0.250 1
Rb2 Rb 0.250 0.250 0.750 1
Rb3 Rb 0.250 0.750 0.250 1
Rb4 Rb 0.250 0.750 0.750 1
Rb5 Rb 0.750 0.250 0.250 1
Rb6 Rb 0.750 0.250 0.750 1
Rb7 Rb 0.750 0.750 0.250 1
Rb8 Rb 0.750 0.750 0.750 1
Ca1 Ca 0.000 0.000 0.000 1
Ca2 Ca 0.000 0.500 0.500 1
Ca3 Ca 0.500 0.000 0.500 1
Ca4 Ca 0.500 0.500 0.000 1
Au1 Au 0.000 0.000 0.500 1
Au2 Au 0.000 0.500 0.000 1
Au3 Au 0.500 0.000 0.000 1
Au4 Au 0.500 0.500 0.500 1
# Total magnetic moment, μB/f.u.: 0.0
# Crystal system: cubic
# DFT total energy, eV for the cell shown: -25.83
# E_form, eV per atom: 0.19
# Calculated volume, A^3/atom: 46.22

=====

# RbCaAu2 | Alexandria via LeMat-Bulk | PBE | optimized geometry
data_RbCaAu2
_cell_length_a 4.444
_cell_length_b 4.444
_cell_length_c 24.041
_cell_angle_alpha 90.00
_cell_angle_beta 90.00
_cell_angle_gamma 120.00
_symmetry_space_group_name_H-M 'P 1'
_symmetry_Int_Tables_number 1
_symmetry_space_group_name_Hall 'P 1'
loop_
_atom_site_label
_atom_site_type_symbol
_atom_site_fract_x
_atom_site_fract_y
_atom_site_fract_z
_atom_site_occupancy
Rb1 Rb 0.000 0.000 0.000 1
Rb2 Rb 0.333 0.667 0.667 1
Rb3 Rb 0.667 0.333 0.333 1
Ca1 Ca 0.000 0.000 0.500 1
Ca2 Ca 0.333 0.667 0.167 1
Ca3 Ca 0.667 0.333 0.833 1
Au1 Au 0.000 0.000 0.232 1
Au2 Au 0.000 0.000 0.768 1
Au3 Au 0.333 0.667 0.435 1
Au4 Au 0.333 0.667 0.898 1
Au5 Au 0.667 0.333 0.102 1
Au6 Au 0.667 0.333 0.565 1
# Total magnetic moment, μB/f.u.: 0.0
# Crystal system: trigonal
# DFT total energy, eV for the cell shown: -33.61
# E_form, eV per atom: -0.42
# Calculated volume, A^3/atom: 34.27

=====

# RbCaAu3 | Alexandria via LeMat-Bulk | PBE | optimized geometry
data_RbCaAu3
_cell_length_a 5.812
_cell_length_b 5.812
_cell_length_c 5.812
_cell_angle_alpha 90.00
_cell_angle_beta 90.00
_cell_angle_gamma 90.00
_symmetry_space_group_name_H-M 'P 1'
_symmetry_Int_Tables_number 1
_symmetry_space_group_name_Hall 'P 1'
loop_
_atom_site_label
_atom_site_type_symbol
_atom_site_fract_x
_atom_site_fract_y
_atom_site_fract_z
_atom_site_occupancy
Rb1 Rb 0.000 0.000 0.000 1
Ca1 Ca 0.500 0.500 0.500 1
Au1 Au 0.000 0.000 0.500 1
Au2 Au 0.000 0.500 0.000 1
Au3 Au 0.500 0.000 0.000 1
# Total magnetic moment, μB/f.u.: 0.0
# Crystal system: cubic
# DFT total energy, eV for the cell shown: -10.15
# E_form, eV per atom: 0.53
# Calculated volume, A^3/atom: 39.27

=====

# RbCaAuS2 | Alexandria via LeMat-Bulk | PBE | optimized geometry
data_RbCaAuS2
_cell_length_a 8.388
_cell_length_b 8.388
_cell_length_c 5.492
_cell_angle_alpha 90.00
_cell_angle_beta 90.00
_cell_angle_gamma 127.15
_symmetry_space_group_name_H-M 'P 1'
_symmetry_Int_Tables_number 1
_symmetry_space_group_name_Hall 'P 1'
loop_
_atom_site_label
_atom_site_type_symbol
_atom_site_fract_x
_atom_site_fract_y
_atom_site_fract_z
_atom_site_occupancy
Rb1 Rb 0.250 0.750 0.787 1
Rb2 Rb 0.750 0.250 0.213 1
Ca1 Ca 0.250 0.250 0.500 1
Ca2 Ca 0.750 0.750 0.500 1
Au1 Au 0.000 0.000 0.000 1
Au2 Au 0.500 0.500 0.000 1
S1 S 0.114 0.886 0.290 1
S2 S 0.386 0.614 0.290 1
S3 S 0.614 0.386 0.710 1
S4 S 0.886 0.114 0.710 1
# Total magnetic moment, μB/f.u.: 0.0
# Crystal system: orthorhombic
# DFT total energy, eV for the cell shown: -41.24
# Calculated volume, A^3/atom: 30.80

=====

# RbCaAu2S | Alexandria via LeMat-Bulk | PBE | optimized geometry
data_RbCaAu2S
_cell_length_a 5.353
_cell_length_b 5.353
_cell_length_c 5.124
_cell_angle_alpha 90.00
_cell_angle_beta 90.00
_cell_angle_gamma 90.00
_symmetry_space_group_name_H-M 'P 1'
_symmetry_Int_Tables_number 1
_symmetry_space_group_name_Hall 'P 1'
loop_
_atom_site_label
_atom_site_type_symbol
_atom_site_fract_x
_atom_site_fract_y
_atom_site_fract_z
_atom_site_occupancy
Rb1 Rb 0.000 0.000 0.000 1
Ca1 Ca 0.500 0.500 0.000 1
Au1 Au 0.000 0.500 0.500 1
Au2 Au 0.500 0.000 0.500 1
S1 S 0.500 0.500 0.500 1
# Total magnetic moment, μB/f.u.: 0.0
# Crystal system: tetragonal
# DFT total energy, eV for the cell shown: -15.05
# Calculated volume, A^3/atom: 29.36

=====

# RbCaSbAu2 | Alexandria via LeMat-Bulk | PBE | optimized geometry
data_RbCaSbAu2
_cell_length_a 5.726
_cell_length_b 5.726
_cell_length_c 5.996
_cell_angle_alpha 90.00
_cell_angle_beta 90.00
_cell_angle_gamma 90.00
_symmetry_space_group_name_H-M 'P 1'
_symmetry_Int_Tables_number 1
_symmetry_space_group_name_Hall 'P 1'
loop_
_atom_site_label
_atom_site_type_symbol
_atom_site_fract_x
_atom_site_fract_y
_atom_site_fract_z
_atom_site_occupancy
Rb1 Rb 0.000 0.000 0.000 1
Ca1 Ca 0.500 0.500 0.500 1
Sb1 Sb 0.500 0.500 0.000 1
Au1 Au 0.000 0.500 0.500 1
Au2 Au 0.500 0.000 0.500 1
# Total magnetic moment, μB/f.u.: 1.4
# Crystal system: tetragonal
# DFT total energy, eV for the cell shown: -13.67
# Calculated volume, A^3/atom: 39.32

=====

# RbSr2CaAu | Alexandria via LeMat-Bulk | PBE | optimized geometry
data_RbSr2CaAu
_cell_length_a 6.303
_cell_length_b 6.303
_cell_length_c 6.003
_cell_angle_alpha 90.00
_cell_angle_beta 90.00
_cell_angle_gamma 90.00
_symmetry_space_group_name_H-M 'P 1'
_symmetry_Int_Tables_number 1
_symmetry_space_group_name_Hall 'P 1'
loop_
_atom_site_label
_atom_site_type_symbol
_atom_site_fract_x
_atom_site_fract_y
_atom_site_fract_z
_atom_site_occupancy
Rb1 Rb 0.000 0.000 0.000 1
Sr1 Sr 0.000 0.500 0.500 1
Sr2 Sr 0.500 0.000 0.500 1
Ca1 Ca 0.500 0.500 0.000 1
Au1 Au 0.500 0.500 0.500 1
# Total magnetic moment, μB/f.u.: 0.0
# Crystal system: tetragonal
# DFT total energy, eV for the cell shown: -11.03
# E_form, eV per atom: -0.28
# Calculated volume, A^3/atom: 47.71

=====

# RbCaTe2Au | Alexandria via LeMat-Bulk | PBE | optimized geometry
data_RbCaTe2Au
_cell_length_a 9.312
_cell_length_b 9.312
_cell_length_c 5.911
_cell_angle_alpha 90.00
_cell_angle_beta 90.00
_cell_angle_gamma 129.96
_symmetry_space_group_name_H-M 'P 1'
_symmetry_Int_Tables_number 1
_symmetry_space_group_name_Hall 'P 1'
loop_
_atom_site_label
_atom_site_type_symbol
_atom_site_fract_x
_atom_site_fract_y
_atom_site_fract_z
_atom_site_occupancy
Rb1 Rb 0.250 0.750 0.779 1
Rb2 Rb 0.750 0.250 0.221 1
Ca1 Ca 0.250 0.250 0.500 1
Ca2 Ca 0.750 0.750 0.500 1
Te1 Te 0.121 0.879 0.278 1
Te2 Te 0.379 0.621 0.278 1
Te3 Te 0.621 0.379 0.722 1
Te4 Te 0.879 0.121 0.722 1
Au1 Au 0.000 0.000 0.000 1
Au2 Au 0.500 0.500 0.000 1
# Total magnetic moment, μB/f.u.: 0.0
# Crystal system: orthorhombic
# DFT total energy, eV for the cell shown: -34.97
# Calculated volume, A^3/atom: 39.29